Record 1
DFT (GGA-PBEsol) results for an optimized crystal structure of ScMoPb.

Calculated values
**Electronic total energy**: -7.37 eV/atom
**Density**: 9.9 g/cm³
**ΔE to the lowest computed polymorph**: 0 meV per atom
**ΔE_f**: 0.0917 eV/atom

Cell: 3.5381 3.5381 9.2893 Å, 90.00 90.00 90.00°
Closest atoms and distances in Å follow each position.
Space group I4mm (No. 107)
One atom of each set of equivalent atoms:
Sc 0.0000 0.0000 0.0000 x2  5 Mo 2.90-3.19, 5 Pb 2.96-3.02
Mo 0.0000 0.0000 0.6570 x2  5 Sc 2.90-3.19, 5 Pb 2.92-3.14
Pb 0.0000 0.0000 0.3187 x2  5 Mo 2.92-3.14, 5 Sc 2.96-3.02

Record 2
DFT (GGA-PBEsol) results for an optimized crystal structure of ScSbI3.

Calculated values
**Electronic total energy**: -3.00 eV/atom
**Density**: 4.3 g/cm³

Cell: 5.9423 5.9423 5.9423 Å, 90.00 90.00 90.00°
Closest atoms and distances in Å follow each position.
Space group Pm-3m (No. 221)
One atom of each set of equivalent atoms:
Sc 0.0000 0.0000 0.0000 x1  12 I 4.20
Sb 0.5000 0.5000 0.5000 x1  6 I 2.97
I 0.0000 0.5000 0.5000 x3  2 Sb 2.97

Record 3
DFT (GGA-PBEsol) results for an optimized crystal structure of Hg2SbAu.

Calculated values
**Electronic total energy**: -2.37 eV/atom
**Density**: 12.4 g/cm³

Cell: 4.1371 4.1371 19.4552 Å, 90.00 90.00 120.00°
Closest atoms and distances in Å follow each position.
Space group R3m (No. 160, hexagonal axes)
One atom of each set of equivalent atoms:
Hg 0.0000 0.0000 0.0000 x3  3 Au 2.84, 3 Hg 2.94
Hg 0.0000 0.0000 0.2454 x3  3 Hg 2.94, 3 Sb 3.05
Sb 0.0000 0.0000 0.4812 x3  3 Au 2.74, 3 Hg 3.05
Au 0.0000 0.0000 0.7461 x3  3 Sb 2.74, 3 Hg 2.84

Record 4
DFT (GGA-PBEsol) results for an optimized crystal structure of DyAl.

Calculated values
**Electronic total energy**: -4.94 eV/atom
**Density**: 7.0 g/cm³
**ΔE_f**: -0.4045 eV/atom

Cell: 3.5525 3.5525 3.5525 Å, 90.00 90.00 90.00°
Closest atoms and distances in Å follow each position.
Space group Pm-3m (No. 221)
One atom of each set of equivalent atoms:
Dy 0.0000 0.0000 0.0000 x1  8 Al 3.08
Al 0.5000 0.5000 0.5000 x1  8 Dy 3.08

Record 5
DFT (GGA-PBEsol) results for an optimized crystal structure of PS2ClO.

Calculated values
**Electronic total energy**: -2.62 eV/atom
**Density**: 2.6 g/cm³
**ΔE to the lowest computed polymorph**: 866 meV per atom

Cell: 4.5478 4.5478 4.6053 Å, 90.00 90.00 90.00°
Closest atoms and distances in Å follow each position.
Space group P4/mmm (No. 123)
One atom of each set of equivalent atoms:
P 0.0000 0.0000 0.0000 x1  2 Cl 2.30
S 0.0000 0.5000 0.5000 x2  2 Cl 2.27
Cl 0.0000 0.0000 0.5000 x1  4 S 2.27, 2 P 2.30
O 0.5000 0.5000 0.0000 x1  4 P 3.22, 8 S 3.24

Record 6
DFT (GGA-PBEsol) results for an optimized crystal structure of K2YCr.

Calculated values
**Electronic total energy**: -3.79 eV/atom
**Density**: 2.6 g/cm³
**ΔE to the lowest computed polymorph**: 91 meV per atom
**ΔE_f**: 1.0463 eV/atom

Cell: 8.2287 8.2287 8.2287 Å, 90.00 90.00 90.00°
Closest atoms and distances in Å follow each position.
Space group F-43m (No. 216)
One atom of each set of equivalent atoms:
K 0.0000 0.0000 0.0000 x4  4 K 3.56, 4 Cr 3.56
K 0.2500 0.2500 0.2500 x4  4 K 3.56, 4 Y 3.56
Y 0.0000 0.0000 0.5000 x4  4 Cr 3.56, 4 K 3.56
Cr 0.2500 0.2500 0.7500 x4  4 K 3.56, 4 Y 3.56